Entry 1:
A plane-wave DFT calculation with PBE was carried out for an optimized crystal structure of AlZnPd.

Cell: 3.226 3.226 4.803 Å, 109.62 109.62 90.00°
Positions (direct):
1 Al 0.611 0.611 0.222
2 Pd 0.955 0.955 0.910
3 Zn 0.284 0.284 0.568

Calculated values
Formation energy in eV/atom: -0.53
Total magnetic moment in μB per formula unit: 0.00
Relative energy among the computed polymorphs in meV/atom: 0
Calculated total energy in eV/atom: -3.936


Entry 2:
A plane-wave DFT calculation with PBE was carried out for an optimized crystal structure of Y7Re.

Cell: 6.818 6.818 6.818 Å, 60.00 60.00 60.00°
Positions (direct):
1 Y 0.000 0.500 0.000
2 Y 0.500 0.000 0.000
3 Y 0.000 0.500 0.500
4 Y 0.500 0.000 0.500
5 Y 0.500 0.500 0.500
6 Y 0.000 0.000 0.500
7 Y 0.500 0.500 0.000
8 Re 0.000 0.000 0.000

Calculated values
Formation energy in eV/atom: 0.27
Total magnetic moment in μB per formula unit: 0.00
Calculated total energy in eV/atom: -6.944


- Which of these has the lowest formation energy?
  AlZnPd


- Look up the calculated total energy of the second one.
  -6.944 eV/atom


- Which of these has the highest formation energy?
  Y7Re


- Which of these has the lowest formation energy?
  AlZnPd